A plane-wave DFT calculation with GGA-PBE was carried out for a relaxed NbGaAs2 crystal.

Unit cell a=5.994 b=5.994 c=11.221 alpha=90.00 beta=90.00 gamma=90.00
Space group I-42d (No. 122)
Unique sites:
Nb1 0.000 0.000 0.000
Ga1 0.000 0.000 0.500
As1 0.246 0.250 0.125

Summary:
Energy   -5.545 eV per atom
N(E_F)   2.81 states/eV/f.u.
E_form   53 meV per atom